1.
ZrAs2: relaxed, GGA-PBE.

Lattice parameters (Å, degrees): 5.045 5.045 5.045 138.41 138.41 60.28
Atoms (fractional coordinates):
As (0.658, 0.658, 0.000)
As (0.342, 0.342, 0.000)
Zr (0.000, 0.000, 0.000)

Results
* M_tot: 0.0 Bohr magnetons per cell
* DOS at the Fermi energy: 1.0 states/eV/cell
* E_form: -0.729 eV per atom

---

2.
Zr3As2: relaxed, GGA-PBE.

Lattice parameters (Å, degrees): 3.855 8.679 10.200 101.17 90.00 102.83
Atoms (fractional coordinates):
As (0.984, 0.968, 0.177)
As (0.674, 0.348, 0.103)
As (0.376, 0.752, 0.545)
As (0.624, 0.248, 0.455)
As (0.326, 0.652, 0.897)
As (0.016, 0.032, 0.823)
Zr (0.830, 0.660, 0.087)
Zr (0.215, 0.429, 0.611)
Zr (0.785, 0.571, 0.389)
Zr (0.136, 0.273, 0.265)
Zr (0.170, 0.340, 0.913)
Zr (0.864, 0.727, 0.735)
Zr (0.500, 0.000, 0.000)
Zr (0.543, 0.086, 0.661)
Zr (0.457, 0.914, 0.339)

Results
* M_tot: 0.0 Bohr magnetons per cell
* excess energy over the best structure of this formula in the dataset: 1.09 eV per formula unit
* DOS at the Fermi energy: 9.6 states/eV/cell
* E_form: -0.841 eV per atom

---

3.
B2Au: relaxed, GGA-PBE.

Lattice parameters (Å, degrees): 3.011 3.011 4.259 90.00 90.00 120.00
Atoms (fractional coordinates):
B (0.333, 0.667, 0.500)
B (0.667, 0.333, 0.500)
Au (0.000, 0.000, 0.000)

Results
* M_tot: 0.0 Bohr magnetons per cell
* DOS at the Fermi energy: 1.5 states/eV/cell
* E_form: 0.680 eV per atom

---

4.
BaBAu2: relaxed, GGA-PBE.

Lattice parameters (Å, degrees): 5.424 5.424 7.936 70.02 70.02 90.00
Atoms (fractional coordinates):
Au (0.375, 0.625, 0.250)
Au (0.375, 0.125, 0.250)
Au (0.375, 0.625, 0.750)
Au (0.875, 0.625, 0.750)
B (0.500, 0.500, 0.000)
B (0.250, 0.750, 0.500)
Ba (0.000, 0.000, 0.000)
Ba (0.750, 0.250, 0.500)

Results
* M_tot: 0.0 Bohr magnetons per cell
* DOS at the Fermi energy: 3.4 states/eV/cell
* E_form: -0.139 eV per atom

---

5.
Ba2B2Au: relaxed, GGA-PBE.

Lattice parameters (Å, degrees): 5.802 5.802 5.636 59.02 59.02 90.00
Atoms (fractional coordinates):
Au (0.000, 0.000, 0.000)
Ba (0.250, 0.750, 0.500)
Ba (0.750, 0.250, 0.500)
B (0.600, 0.600, 0.799)
B (0.400, 0.400, 0.201)

Results
* M_tot: 0.0 Bohr magnetons per cell
* excess energy over the best structure of this formula in the dataset: 0.14 eV per formula unit
* DOS at the Fermi energy: 1.7 states/eV/cell
* E_form: 0.223 eV per atom

---

6.
Ba2B2Au: relaxed, GGA-PBE.

Lattice parameters (Å, degrees): 7.939 7.939 4.117 90.00 90.00 90.00
Atoms (fractional coordinates):
B (0.431, 0.931, 0.000)
B (0.569, 0.069, 0.000)
B (0.931, 0.569, 0.000)
B (0.069, 0.431, 0.000)
Au (0.500, 0.500, 0.000)
Au (0.000, 0.000, 0.000)
Ba (0.702, 0.798, 0.500)
Ba (0.798, 0.298, 0.500)
Ba (0.298, 0.202, 0.500)
Ba (0.202, 0.702, 0.500)

Results
* M_tot: 0.0 Bohr magnetons per cell
* excess energy over the best structure of this formula in the dataset: 0.00 eV per formula unit
* DOS at the Fermi energy: 7.4 states/eV/cell
* E_form: 0.195 eV per atom

---

7.
BaB2Au: relaxed, GGA-PBE.

Lattice parameters (Å, degrees): 4.700 4.700 4.700 60.00 60.00 60.00
Atoms (fractional coordinates):
B (0.250, 0.250, 0.250)
B (0.750, 0.750, 0.750)
Ba (0.000, 0.000, 0.000)
Au (0.500, 0.500, 0.500)

Results
* M_tot: 0.0 Bohr magnetons per cell
* excess energy over the best structure of this formula in the dataset: 3.04 eV per formula unit
* DOS at the Fermi energy: 2.4 states/eV/cell
* E_form: 1.226 eV per atom

---

8.
BaB2Au: relaxed, GGA-PBE.

Lattice parameters (Å, degrees): 4.812 4.812 7.839 72.13 72.13 90.00
Atoms (fractional coordinates):
Ba (0.500, 0.500, 0.000)
Ba (0.250, 0.750, 0.500)
B (0.875, 0.125, 0.750)
B (0.375, 0.125, 0.750)
B (0.875, 0.125, 0.250)
B (0.875, 0.625, 0.250)
Au (0.000, 0.000, 0.000)
Au (0.750, 0.250, 0.500)

Results
* M_tot: 0.0 Bohr magnetons per cell
* excess energy over the best structure of this formula in the dataset: 0.00 eV per formula unit
* DOS at the Fermi energy: 4.1 states/eV/cell
* E_form: 0.466 eV per atom

---

9.
BaBAu3: relaxed, GGA-PBE.

Lattice parameters (Å, degrees): 4.710 4.710 4.710 90.00 90.00 90.00
Atoms (fractional coordinates):
Au (0.000, 0.500, 0.000)
Au (0.000, 0.000, 0.500)
Au (0.500, 0.000, 0.000)
B (0.000, 0.000, 0.000)
Ba (0.500, 0.500, 0.500)

Results
* M_tot: 0.0 Bohr magnetons per cell
* excess energy over the best structure of this formula in the dataset: 0.00 eV per formula unit
* DOS at the Fermi energy: 0.7 states/eV/cell
* E_form: -0.200 eV per atom

---

10.
BaB3Au: relaxed, GGA-PBE.

Lattice parameters (Å, degrees): 4.439 4.439 4.439 90.00 90.00 90.00
Site moments in Bohr magnetons follow the coordinates.
Atoms (fractional coordinates):
B (0.000, 0.500, 0.000)  0.22
B (0.000, 0.000, 0.500)  0.29
B (0.500, 0.000, 0.000)  0.19
Au (0.000, 0.000, 0.000)  0.18
Ba (0.500, 0.500, 0.500)  0.12

Results
* M_tot: 1.9 Bohr magnetons per cell
* excess energy over the best structure of this formula in the dataset: 0.00 eV per formula unit
* DOS at the Fermi energy: 2.6 states/eV/cell
* E_form: 1.328 eV per atom

---

11.
BaB2Au2: relaxed, GGA-PBE.

Lattice parameters (Å, degrees): 7.935 7.935 3.748 90.00 90.00 90.00
Atoms (fractional coordinates):
Ba (0.000, 0.000, 0.000)
Ba (0.500, 0.500, 0.000)
Au (0.877, 0.623, 0.000)
Au (0.623, 0.123, 0.000)
Au (0.123, 0.377, 0.000)
Au (0.377, 0.877, 0.000)
B (0.572, 0.928, 0.500)
B (0.072, 0.572, 0.500)
B (0.428, 0.072, 0.500)
B (0.928, 0.428, 0.500)

Results
* M_tot: 0.0 Bohr magnetons per cell
* DOS at the Fermi energy: 5.1 states/eV/cell
* E_form: 0.861 eV per atom

---

12.
BaB3Au: relaxed, GGA-PBE.

Lattice parameters (Å, degrees): 4.990 4.990 4.990 90.00 90.00 90.00
Atoms (fractional coordinates):
B (0.500, 0.000, 0.000)
B (0.000, 0.500, 0.000)
B (0.000, 0.000, 0.500)
Au (0.500, 0.500, 0.500)
Ba (0.000, 0.000, 0.000)

Results
* M_tot: 0.0 Bohr magnetons per cell
* excess energy over the best structure of this formula in the dataset: 8.17 eV per formula unit
* DOS at the Fermi energy: 4.3 states/eV/cell
* E_form: 2.962 eV per atom

---

13.
Ba3BAu: relaxed, GGA-PBE.

Lattice parameters (Å, degrees): 5.853 5.853 5.853 90.00 90.00 90.00
Atoms (fractional coordinates):
B (0.000, 0.000, 0.000)
Ba (0.500, 0.000, 0.000)
Ba (0.000, 0.500, 0.000)
Ba (0.000, 0.000, 0.500)
Au (0.500, 0.500, 0.500)

Results
* M_tot: 0.0 Bohr magnetons per cell
* excess energy over the best structure of this formula in the dataset: 0.00 eV per formula unit
* DOS at the Fermi energy: 9.5 states/eV/cell
* E_form: 0.254 eV per atom

---

14.
BaBAu3: relaxed, GGA-PBE.

Lattice parameters (Å, degrees): 6.159 6.159 6.159 90.00 90.00 90.00
Atoms (fractional coordinates):
Au (0.500, 0.000, 0.000)
Au (0.000, 0.000, 0.500)
Au (0.000, 0.500, 0.000)
Ba (0.000, 0.000, 0.000)
B (0.500, 0.500, 0.500)

Results
* M_tot: 0.0 Bohr magnetons per cell
* excess energy over the best structure of this formula in the dataset: 8.64 eV per formula unit
* DOS at the Fermi energy: 0.0 states/eV/cell
* E_form: 1.527 eV per atom

---

15.
BaBAuBr2: relaxed, GGA-PBE.

Lattice parameters (Å, degrees): 5.941 4.141 5.941 90.00 90.00 90.00
Atoms (fractional coordinates):
B (0.000, 0.500, 0.000)
Au (0.000, 0.000, 0.000)
Ba (0.500, 0.500, 0.500)
Br (0.500, 0.000, 0.000)
Br (0.000, 0.000, 0.500)

Results
* M_tot: 0.0 Bohr magnetons per cell
* E_form (uncorrected): -0.321 eV per atom
* DOS at the Fermi energy: 2.5 states/eV/cell

---

16.
BaBAuC2: relaxed, GGA-PBE.

Lattice parameters (Å, degrees): 3.897 5.970 3.897 90.00 90.00 90.00
Atoms (fractional coordinates):
Au (0.500, 0.500, 0.500)
C (0.500, 0.000, 0.000)
C (0.000, 0.000, 0.500)
Ba (0.000, 0.500, 0.000)
B (0.000, 0.000, 0.000)

Results
* M_tot: 0.0 Bohr magnetons per cell
* DOS at the Fermi energy: 3.4 states/eV/cell
* E_form: 2.112 eV per atom

---

17.
BaMg2BAu: relaxed, GGA-PBE.

Lattice parameters (Å, degrees): 4.905 4.581 4.905 90.00 90.00 90.00
Atoms (fractional coordinates):
Mg (0.000, 0.000, 0.500)
Mg (0.500, 0.000, 0.000)
Ba (0.500, 0.500, 0.500)
Au (0.000, 0.500, 0.000)
B (0.000, 0.000, 0.000)

Results
* M_tot: 0.0 Bohr magnetons per cell
* DOS at the Fermi energy: 2.0 states/eV/cell
* E_form: 0.128 eV per atom

---

18.
BaMn2BAu: relaxed, GGA-PBE.

Lattice parameters (Å, degrees): 5.174 4.205 5.174 90.00 90.00 90.00
Site moments in Bohr magnetons follow the coordinates.
Atoms (fractional coordinates):
B (0.000, 0.500, 0.000)  -0.01
Mn (0.500, 0.000, 0.000)  3.87
Mn (0.000, 0.000, 0.500)  3.96
Ba (0.500, 0.500, 0.500)  -0.11
Au (0.000, 0.000, 0.000)  0.06

Results
* M_tot: 8.0 Bohr magnetons per cell
* DOS at the Fermi energy: 5.3 states/eV/cell
* E_form: 0.724 eV per atom

---

19.
Ba2BPd6Au: relaxed, GGA-PBE.

Lattice parameters (Å, degrees): 5.976 7.537 7.537 46.73 66.61 89.97
Atoms (fractional coordinates):
Pd (0.730, 0.797, 0.541)
Pd (0.730, 0.271, 0.067)
Pd (0.796, 0.729, 0.934)
Pd (0.204, 0.271, 0.066)
Pd (0.270, 0.203, 0.459)
Pd (0.270, 0.729, 0.933)
B (0.500, 0.500, 0.000)
Ba (0.719, 0.281, 0.562)
Ba (0.281, 0.719, 0.438)
Au (0.000, 0.000, 0.000)

Results
* M_tot: 0.0 Bohr magnetons per cell
* DOS at the Fermi energy: 2.1 states/eV/cell
* E_form: -0.499 eV per atom

---

20.
BaBPtAu2: relaxed, GGA-PBE.

Lattice parameters (Å, degrees): 4.334 6.089 4.334 90.00 90.00 90.00
Atoms (fractional coordinates):
Pt (0.500, 0.500, 0.500)
Au (0.000, 0.000, 0.500)
Au (0.500, 0.000, 0.000)
B (0.000, 0.000, 0.000)
Ba (0.000, 0.500, 0.000)

Results
* M_tot: 0.0 Bohr magnetons per cell
* DOS at the Fermi energy: 4.6 states/eV/cell
* E_form: 0.227 eV per atom

---

21.
BaBSbAu2: relaxed, GGA-PBE.

Lattice parameters (Å, degrees): 4.636 5.356 4.636 90.00 90.00 90.00
Atoms (fractional coordinates):
Ba (0.500, 0.500, 0.500)
Sb (0.000, 0.500, 0.000)
Au (0.000, 0.000, 0.500)
Au (0.500, 0.000, 0.000)
B (0.000, 0.000, 0.000)

Results
* M_tot: 0.0 Bohr magnetons per cell
* E_form (uncorrected): -0.031 eV per atom
* DOS at the Fermi energy: 1.8 states/eV/cell

---

22.
BaScBAu2: relaxed, GGA-PBE.

Lattice parameters (Å, degrees): 5.954 7.599 5.954 90.00 90.00 90.00
Site moments in Bohr magnetons follow the coordinates.
Atoms (fractional coordinates):
B (0.500, 0.500, 0.500)  0.31
Au (0.500, 0.000, 0.000)  0.00
Au (0.000, 0.000, 0.500)  0.00
Sc (0.000, 0.500, 0.000)  0.86
Ba (0.000, 0.000, 0.000)  0.02

Results
* M_tot: 2.0 Bohr magnetons per cell
* DOS at the Fermi energy: 1.2 states/eV/cell
* E_form: 1.879 eV per atom

---

23.
Ba2ScBAu: relaxed, GGA-PBE.

Lattice parameters (Å, degrees): 6.322 5.169 6.322 90.00 90.00 90.00
Site moments in Bohr magnetons follow the coordinates.
Atoms (fractional coordinates):
Sc (0.000, 0.500, 0.000)  0.16
Au (0.000, 0.000, 0.000)  0.02
Ba (0.000, 0.000, 0.500)  0.04
Ba (0.500, 0.000, 0.000)  0.06
B (0.500, 0.500, 0.500)  0.42

Results
* M_tot: 1.9 Bohr magnetons per cell
* DOS at the Fermi energy: 5.9 states/eV/cell
* E_form: 0.764 eV per atom

---

24.
BaB2TeAu: relaxed, GGA-PBE.

Lattice parameters (Å, degrees): 4.434 6.833 4.434 90.00 90.00 90.00
Atoms (fractional coordinates):
Te (0.500, 0.500, 0.500)
Au (0.000, 0.000, 0.000)
Ba (0.000, 0.500, 0.000)
B (0.000, 0.000, 0.500)
B (0.500, 0.000, 0.000)

Results
* M_tot: 0.0 Bohr magnetons per cell
* E_form (uncorrected): 0.638 eV per atom
* DOS at the Fermi energy: 1.9 states/eV/cell

---

25.
BaBW2Au: relaxed, GGA-PBE.

Lattice parameters (Å, degrees): 4.469 4.469 4.710 90.00 90.00 90.00
Atoms (fractional coordinates):
W (0.500, 0.000, 0.000)
W (0.000, 0.500, 0.000)
Ba (0.500, 0.500, 0.500)
Au (0.000, 0.000, 0.500)
B (0.000, 0.000, 0.000)

Results
* M_tot: 0.0 Bohr magnetons per cell
* DOS at the Fermi energy: 4.4 states/eV/cell
* E_form: 0.953 eV per atom

---

26.
BaZnB2Au: relaxed, GGA-PBE.

Lattice parameters (Å, degrees): 4.270 6.442 4.270 90.00 90.00 90.00
Atoms (fractional coordinates):
Ba (0.000, 0.500, 0.000)
B (0.500, 0.000, 0.000)
B (0.000, 0.000, 0.500)
Zn (0.000, 0.000, 0.000)
Au (0.500, 0.500, 0.500)

Results
* M_tot: 0.0 Bohr magnetons per cell
* excess energy over the best structure of this formula in the dataset: 0.00 eV per formula unit
* DOS at the Fermi energy: 2.8 states/eV/cell
* E_form: 1.111 eV per atom

---

27.
BaZnB2Au: relaxed, GGA-PBE.

Lattice parameters (Å, degrees): 5.470 6.096 5.470 90.00 90.00 90.00
Atoms (fractional coordinates):
B (0.500, 0.000, 0.000)
B (0.000, 0.000, 0.500)
Zn (0.500, 0.500, 0.500)
Ba (0.000, 0.000, 0.000)
Au (0.000, 0.500, 0.000)

Results
* M_tot: 0.0 Bohr magnetons per cell
* excess energy over the best structure of this formula in the dataset: 5.29 eV per formula unit
* DOS at the Fermi energy: 4.4 states/eV/cell
* E_form: 2.169 eV per atom